# 1
Be3ZnO | GGA-PBE | optimized geometry

As for the total magnetic moment: 0.0 μB per formula unit. For the uncorrected formation energy, the calculation gives -0.33 eV/atom. The uncorrected energy comes out at -19.065 eV/cell.

The space group is Pm-3m (No. 221) and the conventional cell measures 3.581, 3.581 and 3.581 Å, with angles of 90.00, 90.00 and 90.00 degrees. The distinct sites, in fractional coordinates, are Be at (0.000, 0.000, 0.500), Zn at (0.500, 0.500, 0.500) and O at (0.000, 0.000, 0.000).

# 2
Tl2GeTe | GGA-PBE | optimized geometry

As for the total magnetic moment: 0.0 μB per formula unit. For the uncorrected formation energy, the calculation gives 0.20 eV/atom. The uncorrected energy comes out at -46.694 eV/cell.

The space group is Fm-3m (No. 225) and the conventional cell measures 7.729, 7.729 and 7.729 Å, with angles of 90.00, 90.00 and 90.00 degrees. The distinct sites, in fractional coordinates, are Tl at (0.250, 0.250, 0.250), Ge at (0.000, 0.000, 0.000) and Te at (0.000, 0.000, 0.500).

no.,DOS(E_F) (states/eV/f.u.)
1,0.52
2,2.86